# KRe2Os | Alexandria via LeMat-Bulk | PBE | optimized geometry
# E above lowest polymorph	3.71	eV/f.u.
data_KRe2Os
_symmetry_space_group_name_H-M 'I -4 2 d'
_symmetry_Int_Tables_number 122
_symmetry_space_group_name_Hall 'I -4 2bw'
_cell_length_a 7.609
_cell_length_b 7.609
_cell_length_c 5.687
_cell_angle_alpha 90.00
_cell_angle_beta 90.00
_cell_angle_gamma 90.00
loop_
_atom_site_label
_atom_site_type_symbol
_atom_site_fract_x
_atom_site_fract_y
_atom_site_fract_z
K1 K 0.000 0.000 0.000
Re1 Re 0.183 0.250 0.625
Os1 Os 0.000 0.000 0.500